(1)
The following is a PBE calculation of a relaxed CeNbNiP2 crystal, from Alexandria.

The calculation puts the total energy at -36.95 eV/f.u.

The space group is I-4m2 (No. 119) and the conventional cell measures 3.856, 3.856 and 11.785 Å, with angles of 90.00, 90.00 and 90.00 degrees. Symmetry generates all atoms from Ce at (0.000, 0.000, 0.000), Nb at (0.000, 0.500, 0.250), Ni at (0.000, 0.500, 0.750) and P at (0.000, 0.000, 0.376).


(2)
The following is a PBE calculation of a relaxed ScInP2 crystal, from Alexandria.

The calculation puts the total energy at -21.98 eV/f.u.

The space group is P4/mmm (No. 123) and the conventional cell measures 3.613, 3.613 and 6.006 Å, with angles of 90.00, 90.00 and 90.00 degrees. Symmetry generates all atoms from Sc at (0.000, 0.000, 0.000), In at (0.000, 0.000, 0.500) and P at (0.500, 0.500, 0.188).


(3)
The following is a PBE calculation of a relaxed KMg3Tl crystal, from Alexandria.

The calculation puts the total energy at -7.11 eV/f.u.

The space group is Pm-3m (No. 221) and the conventional cell measures 5.621, 5.621 and 5.621 Å, with angles of 90.00, 90.00 and 90.00 degrees. Symmetry generates all atoms from K at (0.000, 0.000, 0.000), Mg at (0.000, 0.500, 0.500) and Tl at (0.500, 0.500, 0.500).


(4)
The following is a PBE calculation of a relaxed CoAs2Br crystal, from Alexandria.

The energy relative to the elements, uncorrected comes out at 0.280 eV per atom. The calculation puts the total energy at -16.96 eV/f.u.

The space group is P4mm (No. 99) and the conventional cell measures 3.305, 3.305 and 7.367 Å, with angles of 90.00, 90.00 and 90.00 degrees. Symmetry generates all atoms from Co at (0.000, 0.000, 0.000), As at (0.000, 0.000, 0.330), As at (0.500, 0.500, 0.125) and Br at (0.500, 0.500, 0.745).